Computed, not measured: an optimized crystal structure of Ho2MgIn9 at the PBE level of DFT.

## Properties
**Energy relative to the elements**: -264.7 meV per atom
**Total energy**: -3.21 eV/atom

Cell lengths 4.6391, 4.6391, 13.8448 Å; angles 90.00, 90.00, 90.00 degrees
Last column: nearest neighbours and their distance in Å.
Fractional positions:
Ho  0.0000  0.0000  0.1653  12 In 3.26-3.33
Ho  0.0000  0.0000  0.8347  12 In 3.26-3.33
Mg  0.0000  0.0000  0.5000  12 In 3.23-3.28
In  0.0000  0.5000  0.0000  4 Ho 3.26, 8 In 3.27-3.28
In  0.0000  0.5000  0.3378  8 In 3.23-3.31, 2 Mg 3.23, 2 Ho 3.33
In  0.0000  0.5000  0.6622  8 In 3.23-3.31, 2 Mg 3.23, 2 Ho 3.33
In  0.5000  0.0000  0.0000  4 Ho 3.26, 8 In 3.27-3.28
In  0.5000  0.0000  0.3378  8 In 3.23-3.31, 2 Mg 3.23, 2 Ho 3.33
In  0.5000  0.0000  0.6622  8 In 3.23-3.31, 2 Mg 3.23, 2 Ho 3.33
In  0.5000  0.5000  0.1669  8 In 3.27-3.31, 4 Ho 3.28
In  0.5000  0.5000  0.5000  8 In 3.23, 4 Mg 3.28
In  0.5000  0.5000  0.8331  8 In 3.27-3.31, 4 Ho 3.28